Below is a relaxed structure of YAlCoNi, with properties calculated at the GGA-PBE level.

```
YAlCoNi
1.0
-1.452 -3.958 -1.371
-3.368 -0.253 -2.870
0.736 -1.308 -4.171
Al Co Y Ni
1 1 1 1
direct
0.000 0.000 0.000
0.750 0.750 0.750
0.500 0.500 0.500
0.250 0.250 0.250
```

## Properties
Excess energy over the best structure of this formula in the dataset, eV per atom: 0.000
Magnetization, μB/atom: 0.18
Raw total energy, eV/atom: -6.054

=====

Below is a relaxed structure of Ga2Au2SeS3, with properties calculated at the GGA-PBE level.

```
Ga2Au2SeS3
1.0
6.138 -2.867 0.000
6.138 2.867 0.000
-2.633 0.000 5.145
Au Ga S Se
2 2 3 1
direct
0.008 0.725 0.630
0.275 0.992 0.370
0.489 0.257 0.119
0.743 0.511 0.881
0.398 0.602 0.000
0.618 0.882 0.782
0.118 0.382 0.218
0.851 0.149 0.500
```

## Properties
Raw total energy, eV/atom: -3.906